i:
Density functional theory data (PBE) for CaEr2Ni after structural relaxation.

Cell lengths 3.414, 3.414, 9.277 Å; angles 90.00, 90.00, 90.00 degrees
Fractional positions:
Ni (0.500, 0.500, 0.000)
Ca (0.500, 0.500, 0.500)
Er (0.000, 0.000, 0.829)
Er (0.000, 0.000, 0.171)

Output
Space-group type: P4/mmm

***

ii:
Density functional theory data (PBE) for CaEr2Ni after structural relaxation.

Cell lengths 3.919, 3.919, 9.427 Å; angles 78.00, 78.00, 60.00 degrees
Fractional positions:
Ca (0.501, 0.501, 0.497)
Er (0.051, 0.051, 0.846)
Er (0.281, 0.281, 0.156)
Ni (0.666, 0.666, 0.001)

Output
Space-group type: R3m

***

Of them, ii has the lowest stability.

***

i:
Density functional theory data (PBE) for CaEr2O4 after structural relaxation.

Cell lengths 3.351, 9.839, 11.735 Å; angles 90.00, 90.00, 90.00 degrees
Fractional positions:
Ca (0.250, 0.756, 0.353)
Ca (0.750, 0.244, 0.647)
Ca (0.250, 0.256, 0.147)
Ca (0.750, 0.744, 0.853)
Er (0.750, 0.080, 0.887)
Er (0.250, 0.920, 0.113)
Er (0.750, 0.580, 0.613)
Er (0.250, 0.420, 0.387)
Er (0.250, 0.425, 0.888)
Er (0.750, 0.575, 0.112)
Er (0.250, 0.925, 0.612)
Er (0.750, 0.075, 0.388)
O (0.750, 0.077, 0.081)
O (0.250, 0.923, 0.919)
O (0.750, 0.577, 0.419)
O (0.250, 0.423, 0.581)
O (0.750, 0.997, 0.712)
O (0.250, 0.003, 0.288)
O (0.750, 0.497, 0.788)
O (0.250, 0.503, 0.212)
O (0.750, 0.368, 0.020)
O (0.250, 0.632, 0.980)
O (0.750, 0.868, 0.480)
O (0.250, 0.132, 0.520)
O (0.250, 0.215, 0.818)
O (0.750, 0.785, 0.182)
O (0.250, 0.715, 0.682)
O (0.750, 0.285, 0.318)

Output
Space-group type: Pnma

***

ii:
Density functional theory data (PBE) for CaEr2O4 after structural relaxation.

Cell lengths 6.770, 6.770, 6.773 Å; angles 119.97, 119.97, 90.02 degrees
Fractional positions:
Ca (0.250, 0.750, 0.500)
Ca (0.000, 0.000, 0.000)
Er (0.625, 0.375, 0.750)
Er (0.625, 0.875, 0.250)
Er (0.625, 0.375, 0.250)
Er (0.125, 0.375, 0.750)
O (0.862, 0.139, 0.277)
O (0.388, 0.611, 0.223)
O (0.861, 0.585, 0.723)
O (0.861, 0.138, 0.723)
O (0.415, 0.139, 0.277)
O (0.389, 0.165, 0.777)
O (0.389, 0.612, 0.777)
O (0.835, 0.611, 0.223)

Output
Space-group type: I4_1/amd

***

Of them, i has the lowest stability.

***

i:
Density functional theory data (PBE) for CaEr2Os after structural relaxation.

Cell lengths 3.407, 3.407, 9.574 Å; angles 90.00, 90.00, 90.00 degrees
Fractional positions:
Ca (0.500, 0.500, 0.500)
Os (0.500, 0.500, 0.000)
Er (0.000, 0.000, 0.830)
Er (0.000, 0.000, 0.170)

Output
Space-group type: P4/mmm

***

ii:
Density functional theory data (PBE) for CaEr2Os after structural relaxation.

Cell lengths 4.080, 4.080, 9.178 Å; angles 77.16, 77.16, 60.00 degrees
Fractional positions:
Ca (0.500, 0.500, 0.500)
Os (0.000, 0.000, 0.000)
Er (0.282, 0.282, 0.155)
Er (0.718, 0.718, 0.845)

Output
Space-group type: R-3m

***

Of them, ii has the lowest stability.